DFT (PBE) results for a relaxed structure of Cs2NiS.

## Properties
The energy relative to the lowest polymorph listed for this composition comes out at 0.000 eV/atom. The uncorrected formation energy is 268 meV/atom. The calculated volume is 148.4 Å³/cell.

Lattice parameters (Å, degrees): 5.9427 5.9427 5.9427 60.00 60.00 60.00
Last column: magnetic moment on the atom in μB.
Fractional coordinates of all 4 atoms:
1 Ni 0.5000 0.5000 0.5000  1.14
2 Cs 0.7500 0.7500 0.7500  0.01
3 Cs 0.2500 0.2500 0.2500  0.01
4 S 0.0000 0.0000 0.0000  0.21

=====

DFT (PBE) results for a relaxed structure of CsNi2S3.

## Properties
The uncorrected formation energy is -617 meV/atom. The calculated volume is 283.5 Å³/cell.

Lattice parameters (Å, degrees): 6.7442 6.7442 7.1982 90.00 90.00 120.00
Fractional coordinates of all 12 atoms:
1 Ni 0.5000 0.0000 0.0000
2 Ni 0.5000 0.5000 0.0000
3 Cs 0.3333 0.6667 0.4075
4 S 0.1718 0.8282 0.8488
5 S 0.1718 0.3436 0.8488
6 Ni 0.0000 0.5000 0.0000
7 S 0.3436 0.1718 0.1512
8 S 0.6564 0.8282 0.8488
9 Cs 0.6667 0.3333 0.5925
10 S 0.8282 0.6564 0.1512
11 S 0.8282 0.1718 0.1512
12 Ni 0.0000 0.0000 0.0000